[1]
Density functional theory data (PBE) for a relaxed AlCd2Se2 crystal.

The structure belongs to space group P4/mbm (No. 127); the cell edges are 7.849, 7.849 and 3.762 Å and the angles 90.00°, 90.00° and 90.00°. Symmetry generates all atoms from Al at (0.000, 0.000, 0.000), Cd at (0.136, 0.364, 0.000) and Se at (0.169, 0.669, 0.500).

Its energy relative to the lowest polymorph listed for this composition is 0.000 eV/f.u. The calculation puts the total energy at -2.526 eV/atom. The value obtained for the total magnetic moment is 0.00 Bohr magnetons per cell.

[2]
Density functional theory data (PBE) for a relaxed Mn4CuMo crystal.

The structure belongs to space group F-43m (No. 216); the cell edges are 6.616, 6.616 and 6.616 Å and the angles 90.00°, 90.00° and 90.00°. Symmetry generates all atoms from Mn at (0.124, 0.124, 0.124), Cu at (0.250, 0.250, 0.750) and Mo at (0.000, 0.000, 0.500).

Its energy of formation is 0.11 eV/atom. The calculation puts the total energy at -8.487 eV/atom. The value obtained for the total magnetic moment is 10.00 Bohr magnetons per cell.

[3]
Density functional theory data (PBE) for a relaxed GdZrNi crystal.

The structure belongs to space group I4mm (No. 107); the cell edges are 3.354, 3.354 and 11.571 Å and the angles 90.00°, 90.00° and 90.00°. Symmetry generates all atoms from Gd at (0.000, 0.000, 0.000), Zr at (0.000, 0.000, 0.283) and Ni at (0.000, 0.000, 0.678).

Its energy of formation is -0.17 eV/atom. The calculation puts the total energy at -9.637 eV/atom. The value obtained for the total magnetic moment is 16.39 Bohr magnetons per cell.

| no. | calculated volume (A^3/atom) |
| --- | --- |
| 1 | 23.18 |
| 2 | 12.07 |
| 3 | 21.69 |